(1)
VASP calculation (GGA-PBE) on an optimized crystal structure of YHo3Th.

The density of states at the Fermi level comes out at 5.47 states/eV/f.u. The space group is Cmce (64). For the excess energy over the best structure of this formula in the dataset, the calculation gives 0.121 eV per atom. As for the spin magnetization: 0.00 μB/cell.

Geometry as POSCAR:
```
YHo3Th
1.0
7.431 -0.274 -0.205
0.303 9.220 -1.354
0.303 1.306 9.227
Y Ho Th
4 12 4
direct
0.250 0.774 0.226
0.750 0.226 0.774
0.250 0.274 0.726
0.750 0.726 0.274
0.621 0.876 0.922
0.879 0.078 0.124
0.379 0.124 0.078
0.121 0.922 0.876
0.642 0.404 0.096
0.858 0.904 0.596
0.358 0.596 0.904
0.142 0.096 0.404
0.621 0.578 0.624
0.879 0.376 0.422
0.379 0.422 0.376
0.121 0.624 0.578
0.916 0.606 0.894
0.584 0.106 0.394
0.084 0.394 0.106
0.416 0.894 0.606
```


(2)
VASP calculation (GGA-PBE) on an optimized crystal structure of YHoThZn.

The density of states at the Fermi level comes out at 5.77 states/eV/f.u. The space group is P4mm (99). The value obtained for the uncorrected energy is -5.10 eV per atom. As for the spin magnetization: 0.00 μB/cell.

Geometry as POSCAR:
```
YHoThZn
1.0
-0.050 2.554 2.493
-3.532 -0.393 0.331
1.223 -5.889 6.058
Y Ho Th Zn
1 1 1 1
direct
0.500 0.500 0.782
0.500 0.500 0.361
0.000 0.000 0.074
0.000 0.000 0.568
```


(3)
VASP calculation (GGA-PBE) on an optimized crystal structure of HoTh2Zn.

The density of states at the Fermi level comes out at 5.09 states/eV/f.u. The space group is P4/mmm (123). For the excess energy over the best structure of this formula in the dataset, the calculation gives 0.000 eV per atom. As for the spin magnetization: 0.00 μB/cell.

Geometry as POSCAR:
```
HoTh2Zn
1.0
3.574 0.000 0.000
0.000 3.574 0.000
0.000 0.000 8.967
Zn Ho Th
1 1 2
direct
0.500 0.500 0.000
0.500 0.500 0.500
0.000 0.000 0.785
0.000 0.000 0.215
```


(4)
VASP calculation (GGA-PBE) on an optimized crystal structure of Ho5ThZn6.

The density of states at the Fermi level comes out at 13.18 states/eV/f.u. The space group is Immm (71). The value obtained for the uncorrected energy is -3.47 eV per atom. As for the spin magnetization: 0.00 μB/cell.

Geometry as POSCAR:
```
Ho5ThZn6
1.0
4.837 0.021 -1.411
-0.983 6.295 -3.278
-0.076 0.459 8.734
Zn Ho Th
6 5 1
direct
0.829 0.575 0.660
0.829 0.085 0.660
0.500 0.739 0.000
0.500 0.261 0.000
0.171 0.915 0.340
0.171 0.425 0.340
0.666 0.165 0.331
0.333 0.333 0.666
0.000 0.500 0.000
0.667 0.667 0.334
0.334 0.835 0.669
0.000 0.000 0.000
```


(5)
VASP calculation (GGA-PBE) on an optimized crystal structure of HoTh2Zn.

The density of states at the Fermi level comes out at 3.69 states/eV/f.u. The space group is Fm-3m (225). For the excess energy over the best structure of this formula in the dataset, the calculation gives 0.127 eV per atom. As for the spin magnetization: 0.00 μB/cell.

Geometry as POSCAR:
```
HoTh2Zn
1.0
5.402 0.000 0.000
2.701 4.679 0.000
2.701 1.560 4.411
Zn Ho Th
1 1 2
direct
0.500 0.500 0.500
0.000 0.000 0.000
0.750 0.750 0.750
0.250 0.250 0.250
```


(6)
VASP calculation (GGA-PBE) on an optimized crystal structure of Ho2ThZn4.

The density of states at the Fermi level comes out at 5.03 states/eV/f.u. The space group is I4/mmm (139). The value obtained for the uncorrected energy is -3.17 eV per atom. As for the spin magnetization: 0.00 μB/cell.

Geometry as POSCAR:
```
Ho2ThZn4
1.0
0.739 -3.634 -3.689
4.936 -0.633 1.613
-4.708 -2.293 5.024
Ho Th Zn
2 1 4
direct
0.724 0.724 0.448
0.276 0.276 0.552
0.000 0.000 0.000
0.383 0.883 0.767
0.883 0.383 0.767
0.617 0.117 0.233
0.117 0.617 0.233
```


(7)
VASP calculation (GGA-PBE) on an optimized crystal structure of HoTh3Zn4.

The density of states at the Fermi level comes out at 8.17 states/eV/f.u. The space group is R-3m (166). The value obtained for the uncorrected energy is -4.20 eV per atom. As for the spin magnetization: 0.00 μB/cell.

Geometry as POSCAR:
```
HoTh3Zn4
1.0
4.935 0.000 1.457
2.253 4.391 1.457
0.045 0.027 8.936
Zn Ho Th
4 1 3
direct
0.878 0.878 0.367
0.372 0.372 0.883
0.122 0.122 0.633
0.628 0.628 0.117
0.000 0.000 0.000
0.249 0.249 0.253
0.751 0.751 0.747
0.500 0.500 0.500
```


(8)
VASP calculation (GGA-PBE) on an optimized crystal structure of Ho4ThZn5.

The density of states at the Fermi level comes out at 11.13 states/eV/f.u. The space group is P4/mmm (123). The value obtained for the uncorrected energy is -3.52 eV per atom. As for the spin magnetization: 0.00 μB/cell.

Geometry as POSCAR:
```
Ho4ThZn5
1.0
3.567 0.000 0.000
0.000 3.567 0.000
0.000 0.000 17.955
Ho Th Zn
4 1 5
direct
0.000 0.000 0.205
0.000 0.000 0.402
0.000 0.000 0.598
0.000 0.000 0.795
0.000 0.000 0.000
0.500 0.500 0.110
0.500 0.500 0.303
0.500 0.500 0.500
0.500 0.500 0.697
0.500 0.500 0.890
```


Among the records above, which one has the highest density of states at the Fermi level? Ho5ThZn6


The highest density of states at the Fermi level belongs to which entry? Ho5ThZn6